# 1
Density functional theory data (PBE) for Sr2Cu2Ni after structural relaxation.

a = 7.244 Å, b = 7.244 Å, c = 4.403 Å
α = 90.00°, β = 90.00°, γ = 90.00°
Fractional positions:
Sr 0.184 0.316 0.000
Sr 0.316 0.816 0.000
Sr 0.684 0.184 0.000
Sr 0.816 0.684 0.000
Cu 0.121 0.621 0.500
Cu 0.379 0.121 0.500
Cu 0.621 0.879 0.500
Cu 0.879 0.379 0.500
Ni 0.000 0.000 0.500
Ni 0.500 0.500 0.500

Summary:
Energy of formation from the pure elements in meV/atom: 142
Fermi-level density of states in states/eV/atom: 0.57
Distance to the lowest polymorph of the same formula in kJ per mole of atoms: 0.0
Crystal system: tetragonal


# 2
Density functional theory data (PBE) for NaNbI2N after structural relaxation.

a = 5.440 Å, b = 5.440 Å, c = 4.096 Å
α = 90.00°, β = 90.00°, γ = 90.00°
Fractional positions:
Na 0.000 0.000 0.000
Nb 0.500 0.500 0.500
I 0.000 0.500 0.000
I 0.500 0.000 0.000
N 0.000 0.000 0.500

Summary:
ΔE_f (raw) in meV per atom: 1572
Fermi-level density of states in states/eV/atom: 1.99
Distance to the lowest polymorph of the same formula in kJ per mole of atoms: 185.9
Crystal system: tetragonal


# 3
Density functional theory data (PBE) for HfTlAgTe2 after structural relaxation.

a = 5.794 Å, b = 5.794 Å, c = 5.412 Å
α = 90.00°, β = 90.00°, γ = 90.00°
Fractional positions:
Hf 0.000 0.000 0.000
Tl 0.000 0.000 0.500
Ag 0.500 0.500 0.000
Te 0.000 0.500 0.500
Te 0.500 0.000 0.500

Summary:
ΔE_f (raw) in meV per atom: 1135
Fermi-level density of states in states/eV/atom: 0.83
Crystal system: tetragonal


# 4
Density functional theory data (PBE) for Sr2TaSi after structural relaxation.

a = 6.018 Å, b = 6.018 Å, c = 6.018 Å
α = 137.19°, β = 137.19°, γ = 62.15°
Fractional positions:
Sr 0.250 0.750 0.500
Sr 0.750 0.250 0.500
Ta 0.000 0.000 0.000
Si 0.500 0.500 0.000

Summary:
ΔE_f (raw) in meV per atom: 735
Fermi-level density of states in states/eV/atom: 1.23
Crystal system: tetragonal


# 5
Density functional theory data (PBE) for Al3MoIr after structural relaxation.

a = 4.666 Å, b = 4.666 Å, c = 4.666 Å
α = 90.00°, β = 90.00°, γ = 90.00°
Fractional positions:
Al 0.000 0.000 0.500
Al 0.000 0.500 0.000
Al 0.500 0.000 0.000
Mo 0.500 0.500 0.500
Ir 0.000 0.000 0.000

Summary:
Energy of formation from the pure elements in meV/atom: 460
Fermi-level density of states in states/eV/atom: 0.52
Distance to the lowest polymorph of the same formula in kJ per mole of atoms: 0.0
Crystal system: cubic


# 6
Density functional theory data (PBE) for TbCePm after structural relaxation.

a = 5.627 Å, b = 5.627 Å, c = 3.493 Å
α = 90.00°, β = 90.00°, γ = 120.00°
Fractional positions:
Tb 0.000 0.000 0.000
Ce 0.667 0.333 0.500
Pm 0.333 0.667 0.500

Summary:
Energy of formation from the pure elements in meV/atom: 115
Fermi-level density of states in states/eV/atom: 2.29
Distance to the lowest polymorph of the same formula in kJ per mole of atoms: 4.0
Crystal system: hexagonal


# 7
Density functional theory data (PBE) for Be4C5 after structural relaxation.

a = 7.623 Å, b = 7.623 Å, c = 2.992 Å
α = 90.00°, β = 90.00°, γ = 120.00°
Fractional positions:
Be 0.000 0.000 0.000
Be 0.000 0.000 0.500
Be 0.000 0.325 0.250
Be 0.000 0.675 0.750
Be 0.325 0.000 0.250
Be 0.325 0.325 0.750
Be 0.675 0.000 0.750
Be 0.675 0.675 0.250
C 0.000 0.223 0.750
C 0.000 0.777 0.250
C 0.223 0.000 0.750
C 0.223 0.223 0.250
C 0.333 0.667 0.000
C 0.333 0.667 0.500
C 0.667 0.333 0.000
C 0.667 0.333 0.500
C 0.777 0.000 0.250
C 0.777 0.777 0.750

Summary:
Energy of formation from the pure elements in meV/atom: 1647
Fermi-level density of states in states/eV/atom: 0.21
Distance to the lowest polymorph of the same formula in kJ per mole of atoms: 63.1
Crystal system: hexagonal


# 8
Density functional theory data (PBE) for Tl2Te3Au after structural relaxation.

a = 8.393 Å, b = 8.393 Å, c = 9.787 Å
α = 115.75°, β = 115.75°, γ = 47.09°
Fractional positions:
Tl 0.000 0.000 0.000
Tl 0.000 0.000 0.500
Tl 0.295 0.295 0.773
Tl 0.705 0.705 0.227
Te 0.174 0.174 0.370
Te 0.206 0.640 0.195
Te 0.360 0.794 0.805
Te 0.640 0.206 0.195
Te 0.794 0.360 0.805
Te 0.826 0.826 0.630
Au 0.298 0.298 0.263
Au 0.702 0.702 0.737

Summary:
ΔE_f (raw) in meV per atom: -41
Fermi-level density of states in states/eV/atom: 0.45
Distance to the lowest polymorph of the same formula in kJ per mole of atoms: 6.1
Crystal system: monoclinic


What did the fifth record say?
Density functional theory data (PBE) for Al3MoIr after structural relaxation.

a = 4.666 Å, b = 4.666 Å, c = 4.666 Å
α = 90.00°, β = 90.00°, γ = 90.00°
Fractional positions:
Al 0.000 0.000 0.500
Al 0.000 0.500 0.000
Al 0.500 0.000 0.000
Mo 0.500 0.500 0.500
Ir 0.000 0.000 0.000

Summary:
Energy of formation from the pure elements in meV/atom: 460
Fermi-level density of states in states/eV/atom: 0.52
Distance to the lowest polymorph of the same formula in kJ per mole of atoms: 0.0
Crystal system: cubic


Question: Which of these has the highest Fermi-level density of states?
Answer: TbCePm